1.
VASP calculation (PBE-GGA) on a geometry-optimized PmThAu3 structure.

abc: 8.1460 8.1460 8.1460
angles: 45.29 45.29 45.29
Last column: nearest neighbours and their distance in Å.
Sites, in units of the cell vectors:
Pm  0.0881  0.0881  0.0881  9 Au 3.19-3.38
Pm  0.9119  0.9119  0.9119  9 Au 3.19-3.38
Th  0.3338  0.3338  0.3338  6 Au 3.09-3.10
Th  0.6662  0.6662  0.6662  6 Au 3.09-3.10
Au  0.1104  0.6164  0.6164  6 Au 2.93-3.17, 2 Th 3.09-3.10, 2 Pm 3.19
Au  0.3836  0.3836  0.8896  6 Au 2.93-3.17, 2 Th 3.09-3.10, 2 Pm 3.19
Au  0.3836  0.8896  0.3836  6 Au 2.93-3.17, 2 Th 3.09-3.10, 2 Pm 3.19
Au  0.6164  0.1104  0.6164  6 Au 2.93-3.17, 2 Th 3.09-3.10, 2 Pm 3.19
Au  0.6164  0.6164  0.1104  6 Au 2.93-3.17, 2 Th 3.09-3.10, 2 Pm 3.19
Au  0.8896  0.3836  0.3836  6 Au 2.93-3.17, 2 Th 3.09-3.10, 2 Pm 3.19

SG: R-3m
Formation energy from the elements: -53.9 kJ per mole of atoms
ΔE to the lowest computed polymorph: 0.149 eV/atom
Spin magnetization: 0.00 μB per cell

***

2.
VASP calculation (PBE-GGA) on a geometry-optimized PmThAu4 structure.

abc: 3.8653 3.8653 9.2996
angles: 90.00 90.00 90.00
Last column: nearest neighbours and their distance in Å.
Sites, in units of the cell vectors:
Pm  0.0000  0.0000  0.0000  10 Au 3.08-3.13
Th  0.5000  0.5000  0.5000  10 Au 3.12-3.15
Au  0.0000  0.0000  0.3314  1 Pm 3.08, 5 Au 3.14, 4 Th 3.15
Au  0.0000  0.0000  0.6686  1 Pm 3.08, 5 Au 3.14, 4 Th 3.15
Au  0.5000  0.5000  0.1643  5 Au 3.05-3.14, 1 Th 3.12, 4 Pm 3.13
Au  0.5000  0.5000  0.8357  5 Au 3.05-3.14, 1 Th 3.12, 4 Pm 3.13

SG: P4/mmm
Formation energy from the elements: -70.3 kJ per mole of atoms
Spin magnetization: 0.00 μB per cell

***

3.
VASP calculation (PBE-GGA) on a geometry-optimized PmThAu structure.

abc: 5.0408 5.0408 3.7094
angles: 90.00 90.00 120.00
Last column: nearest neighbours and their distance in Å.
Sites, in units of the cell vectors:
Pm  0.0000  0.0000  0.0000  3 Au 3.20, 3 Th 3.25
Th  0.3333  0.6667  0.6117  3 Au 3.06, 3 Pm 3.25
Au  0.6667  0.3333  0.3563  3 Th 3.06, 3 Pm 3.20

SG: P3m1
Formation energy from the elements: -20.5 kJ per mole of atoms
ΔE to the lowest computed polymorph: 0.196 eV/atom
Spin magnetization: 0.00 μB per cell

***

4.
VASP calculation (PBE-GGA) on a geometry-optimized Pm2ThAu structure.

abc: 10.4644 10.4644 10.4644
angles: 20.29 20.29 20.29
Last column: nearest neighbours and their distance in Å.
Sites, in units of the cell vectors:
Pm  0.2395  0.2395  0.2395  3 Au 3.09
Pm  0.7605  0.7605  0.7605  3 Au 3.09
Th  0.0000  0.0000  0.0000  6 Pm 3.58, 6 Th 3.69
Au  0.5000  0.5000  0.5000  6 Pm 3.09

SG: R-3m
Formation energy from the elements: -22.8 kJ per mole of atoms
ΔE to the lowest computed polymorph: 0.140 eV/atom
Spin magnetization: 0.00 μB per cell

***

5.
VASP calculation (PBE-GGA) on a geometry-optimized PmTh2Au4 structure.

abc: 7.5447 7.5447 7.5447
angles: 138.38 138.38 60.33
Last column: nearest neighbours and their distance in Å.
Sites, in units of the cell vectors:
Pm  0.0000  0.0000  0.0000  8 Au 3.07
Th  0.2868  0.2868  0.0000  4 Au 2.97
Th  0.7132  0.7132  0.0000  4 Au 2.97
Au  0.1152  0.6152  0.5000  2 Th 2.97, 1 Au 3.01, 2 Pm 3.07
Au  0.3848  0.8848  0.5000  2 Th 2.97, 1 Au 3.01, 2 Pm 3.07
Au  0.6152  0.1152  0.5000  2 Th 2.97, 1 Au 3.01, 2 Pm 3.07
Au  0.8848  0.3848  0.5000  2 Th 2.97, 1 Au 3.01, 2 Pm 3.07

SG: I4/mmm
Formation energy from the elements: -52.1 kJ per mole of atoms
Spin magnetization: 0.00 μB per cell

***

6.
VASP calculation (PBE-GGA) on a geometry-optimized PmThAu4 structure.

abc: 5.9266 5.9266 5.9266
angles: 132.38 107.57 91.38
Last column: nearest neighbours and their distance in Å.
Sites, in units of the cell vectors:
Pm  0.0000  0.0000  0.0000  12 Au 3.25-3.29, 2 Th 3.50
Th  0.5000  0.0000  0.5000  12 Au 3.25-3.28, 2 Pm 3.50
Au  0.0877  0.3332  0.7546  3 Au 2.76
Au  0.4214  0.6668  0.7546  3 Au 2.76
Au  0.5786  0.3332  0.2454  3 Au 2.76
Au  0.9123  0.6668  0.2454  3 Au 2.76

SG: Immm
Formation energy from the elements: -70.2 kJ per mole of atoms
Spin magnetization: 0.00 μB per cell

***

7.
VASP calculation (PBE-GGA) on a geometry-optimized Pm5ThAu4 structure.

abc: 3.6843 3.6843 19.6057
angles: 90.00 90.00 90.00
Last column: nearest neighbours and their distance in Å.
Sites, in units of the cell vectors:
Pm  0.0000  0.0000  0.0000  8 Au 3.20
Pm  0.0000  0.0000  0.1896  8 Au 3.18-3.20
Pm  0.0000  0.0000  0.3770  4 Au 3.20, 4 Th 3.55
Pm  0.0000  0.0000  0.6230  4 Au 3.20, 4 Th 3.55
Pm  0.0000  0.0000  0.8104  8 Au 3.18-3.20
Th  0.5000  0.5000  0.5000  8 Pm 3.55, 4 Th 3.68
Au  0.5000  0.5000  0.0949  8 Pm 3.20
Au  0.5000  0.5000  0.2823  8 Pm 3.18-3.20
Au  0.5000  0.5000  0.7177  8 Pm 3.18-3.20
Au  0.5000  0.5000  0.9051  8 Pm 3.20

SG: P4/mmm
Formation energy from the elements: -60.1 kJ per mole of atoms
Spin magnetization: 0.00 μB per cell

***

8.
VASP calculation (PBE-GGA) on a geometry-optimized Pm2TiAu structure.

abc: 3.5734 3.5734 7.9654
angles: 90.00 90.00 90.00
Last column: nearest neighbours and their distance in Å.
Sites, in units of the cell vectors:
Pm  0.0000  0.0000  0.2428  4 Au 3.18, 4 Ti 3.25
Pm  0.0000  0.0000  0.7572  4 Au 3.18, 4 Ti 3.25
Ti  0.5000  0.5000  0.5000  8 Pm 3.25, 4 Ti 3.57
Au  0.5000  0.5000  0.0000  8 Pm 3.18

SG: P4/mmm
Formation energy from the elements: -19.5 kJ per mole of atoms
Spin magnetization: 0.00 μB per cell